[1]
The following is a PBE-GGA calculation of a relaxed structure of SrHgSe2Br, from Alexandria via LeMat-Bulk.

Properties
Space-group type   P4/mmm, No. 123
Uncorrected formation energy   -311 meV/atom
Crystal system   tetragonal
Density   3.884 g/cm3
Energy above the lowest structure with this stoichiometry   0.318 eV/atom
Energy   -12.180 eV per cell

a b c (Å): 6.1729 6.1729 5.9020
angles (deg): 90.00 90.00 90.00
Fractional positions:
Sr1 0.0000 0.0000 0.0000
Hg1 0.5000 0.5000 0.5000
Se1 0.0000 0.5000 0.0000
Se2 0.5000 0.0000 0.0000
Br1 0.0000 0.0000 0.5000

***

[2]
The following is a PBE-GGA calculation of a relaxed structure of SrHgSe2Br, from Alexandria via LeMat-Bulk.

Properties
Space-group type   P4/mmm, No. 123
Uncorrected formation energy   -629 meV/atom
Crystal system   tetragonal
Density   5.523 g/cm3
Energy above the lowest structure with this stoichiometry   0.000 eV/atom
Energy   -13.768 eV per cell

a b c (Å): 5.2459 5.2459 5.7470
angles (deg): 90.00 90.00 90.00
Fractional positions:
Sr1 0.0000 0.0000 0.0000
Hg1 0.5000 0.5000 0.5000
Se1 0.0000 0.5000 0.5000
Se2 0.5000 0.0000 0.5000
Br1 0.5000 0.5000 0.0000

***

[3]
The following is a PBE-GGA calculation of a relaxed structure of TaHgSeBr2, from Alexandria via LeMat-Bulk.

Properties
Space-group type   P4/mmm, No. 123
Uncorrected formation energy   1114 meV/atom
Crystal system   tetragonal
Density   6.734 g/cm3
Energy above the lowest structure with this stoichiometry   1.392 eV/atom
Energy   -13.416 eV per cell

a b c (Å): 5.3303 5.3303 5.3837
angles (deg): 90.00 90.00 90.00
Fractional positions:
Ta1 0.0000 0.0000 0.0000
Hg1 0.5000 0.5000 0.5000
Se1 0.5000 0.5000 0.0000
Br1 0.0000 0.5000 0.5000
Br2 0.5000 0.0000 0.5000

***

[4]
The following is a PBE-GGA calculation of a relaxed structure of TaHgSeBr2, from Alexandria via LeMat-Bulk.

Properties
Space-group type   P4/mmm, No. 123
Uncorrected formation energy   -278 meV/atom
Crystal system   tetragonal
Density   7.454 g/cm3
Energy above the lowest structure with this stoichiometry   0.000 eV/atom
Energy   -20.375 eV per cell

a b c (Å): 5.2558 5.2558 5.0027
angles (deg): 90.00 90.00 90.00
Fractional positions:
Ta1 0.0000 0.0000 0.0000
Hg1 0.5000 0.5000 0.5000
Se1 0.0000 0.0000 0.5000
Br1 0.0000 0.5000 0.0000
Br2 0.5000 0.0000 0.0000

***

[5]
The following is a PBE-GGA calculation of a relaxed structure of Hg4TeSe2Br, from Alexandria via LeMat-Bulk.

Properties
Space-group type   I-42m, No. 121
Uncorrected formation energy   -179 meV/atom
Crystal system   tetragonal
Density   6.937 g/cm3
Energy   -28.846 eV per cell

a b c (Å): 6.5025 6.5025 13.2227
angles (deg): 90.00 90.00 90.00
Fractional positions:
Hg1 0.2355 0.2355 0.3596
Hg2 0.2355 0.7645 0.6404
Hg3 0.2645 0.2645 0.8596
Hg4 0.2645 0.7355 0.1404
Hg5 0.7355 0.2645 0.1404
Hg6 0.7355 0.7355 0.8596
Hg7 0.7645 0.2355 0.6404
Hg8 0.7645 0.7645 0.3596
Te1 0.0000 0.0000 0.5000
Te2 0.5000 0.5000 0.0000
Se1 0.0000 0.5000 0.2500
Se2 0.0000 0.5000 0.7500
Se3 0.5000 0.0000 0.2500
Se4 0.5000 0.0000 0.7500
Br1 0.0000 0.0000 0.0000
Br2 0.5000 0.5000 0.5000

***

[6]
The following is a PBE-GGA calculation of a relaxed structure of HgTeSeBr, from Alexandria via LeMat-Bulk.

Properties
Space-group type   Cm, No. 8
Uncorrected formation energy   -110 meV/atom
Crystal system   monoclinic
Density   5.802 g/cm3
Energy   -18.084 eV per cell

a b c (Å): 7.7200 4.6384 8.0796
angles (deg): 90.00 105.50 90.00
Fractional positions:
Hg1 0.0000 0.0000 0.0000
Hg2 0.5000 0.5000 0.0000
Te1 0.3135 0.5000 0.2471
Te2 0.8135 0.0000 0.2471
Se1 0.4351 0.0000 0.3952
Se2 0.9351 0.5000 0.3952
Br1 0.2082 0.0000 0.7954
Br2 0.7082 0.5000 0.7954

***

[7]
The following is a PBE-GGA calculation of a relaxed structure of HgTeSe2Br, from Alexandria via LeMat-Bulk.

Properties
Space-group type   P4/mmm, No. 123
Uncorrected formation energy   264 meV/atom
Crystal system   tetragonal
Density   5.700 g/cm3
Energy above the lowest structure with this stoichiometry   0.000 eV/atom
Energy   -10.764 eV per cell

a b c (Å): 5.4355 5.4355 5.5813
angles (deg): 90.00 90.00 90.00
Fractional positions:
Hg1 0.0000 0.0000 0.0000
Te1 0.5000 0.5000 0.5000
Se1 0.0000 0.5000 0.5000
Se2 0.5000 0.0000 0.5000
Br1 0.5000 0.5000 0.0000

***

[8]
The following is a PBE-GGA calculation of a relaxed structure of Hg2TeSeBr, from Alexandria via LeMat-Bulk.

Properties
Space-group type   P4/mmm, No. 123
Uncorrected formation energy   326 meV/atom
Crystal system   tetragonal
Density   6.234 g/cm3
Energy   -7.271 eV per cell

a b c (Å): 5.7785 5.7785 5.4852
angles (deg): 90.00 90.00 90.00
Fractional positions:
Hg1 0.0000 0.5000 0.0000
Hg2 0.5000 0.0000 0.0000
Te1 0.0000 0.0000 0.0000
Se1 0.5000 0.5000 0.5000
Br1 0.0000 0.0000 0.5000